## CsZr2GeO (PBE)

Data for a relaxed CsZr2GeO crystal.

Cell: 4.5414 5.4628 4.5414 Å, 90.00 90.00 90.00°
Sites, in units of the cell vectors:
Ge 0.5000 0.5000 0.5000
Cs 0.0000 0.5000 0.0000
O 0.0000 0.0000 0.0000
Zr 0.0000 0.0000 0.5000
Zr 0.5000 0.0000 0.0000

Computed properties:
- E: -0.2123 hartree per atom
- Crystal system: tetragonal
- Formation energy without anion corrections: -0.273 eV/atom